Entry 1:
Here is a geometry-optimized TmMgAs2 structure from the Alexandria database. Energies are from PBE-GGA.

**Crystal system**: trigonal
**DFT formation energy**: -0.842 eV/atom
**Symmetry**: R3m (160)
**Total magnetic moment**: 0.00 μB per cell

a = 6.7032 Å, b = 6.7032 Å, c = 6.7032 Å
α = 35.66°, β = 35.66°, γ = 35.66°
Closest atoms and distances in Å follow each position.
Fractional coordinates of all 4 atoms:
Tm 0.0000 0.0000 0.0000  6 As 2.85-2.88
Mg 0.8266 0.8266 0.8266  6 As 2.76-2.87
As 0.4179 0.4179 0.4179  3 Mg 2.76, 3 Tm 2.85, 1 As 3.04
As 0.5797 0.5797 0.5797  3 Mg 2.87, 3 Tm 2.88, 1 As 3.04


Entry 2:
Here is a geometry-optimized Cs2YTlRu structure from the Alexandria database. Energies are from PBE-GGA.

**Crystal system**: tetragonal
**DFT formation energy**: 1.220 eV/atom
**Symmetry**: P4/mmm (123)
**Total magnetic moment**: 0.25 μB per cell

a = 6.9722 Å, b = 6.9722 Å, c = 5.2139 Å
α = 90.00°, β = 90.00°, γ = 90.00°
Closest atoms and distances in Å follow each position.
Fractional coordinates of all 5 atoms:
Cs 0.0000 0.5000 0.0000  2 Tl 3.49
Cs 0.5000 0.0000 0.0000  2 Tl 3.49
Y 0.0000 0.0000 0.5000  8 Cs 4.35
Tl 0.5000 0.5000 0.0000  2 Ru 2.61
Ru 0.5000 0.5000 0.5000  2 Tl 2.61


Entry 3:
Here is a geometry-optimized PaPtRhN structure from the Alexandria database. Energies are from PBE-GGA.

**Crystal system**: tetragonal
**Symmetry**: P4/nmm (129)
**Total magnetic moment**: 0.00 μB per cell
**Energy**: -68.79 eV for the cell shown

a = 3.9839 Å, b = 3.9839 Å, c = 7.8679 Å
α = 90.00°, β = 90.00°, γ = 90.00°
Closest atoms and distances in Å follow each position.
Fractional coordinates of all 8 atoms:
Pa 0.2500 0.2500 0.1579  4 N 2.35
Pa 0.7500 0.7500 0.8421  4 N 2.35
Pt 0.2500 0.7500 0.5000  4 Rh 2.70, 4 Pt 2.82
Pt 0.7500 0.2500 0.5000  4 Rh 2.70, 4 Pt 2.82
Rh 0.2500 0.2500 0.7321  4 Pt 2.70, 4 N 2.90, 4 Pa 2.95
Rh 0.7500 0.7500 0.2679  4 Pt 2.70, 4 N 2.90, 4 Pa 2.95
N 0.2500 0.7500 0.0000  4 Pa 2.35
N 0.7500 0.2500 0.0000  4 Pa 2.35


Entry 4:
Here is a geometry-optimized NaEuZn structure from the Alexandria database. Energies are from PBE-GGA.

**Crystal system**: hexagonal
**E above lowest polymorph**: 51 meV per atom
**DFT formation energy**: 0.034 eV/atom
**Symmetry**: P-6m2 (187)
**Total magnetic moment**: 7.52 μB per cell

a = 5.2149 Å, b = 5.2149 Å, c = 3.7248 Å
α = 90.00°, β = 90.00°, γ = 120.00°
Closest atoms and distances in Å follow each position.
Fractional coordinates of all 3 atoms:
Na 0.0000 0.0000 0.0000  3 Zn 3.01
Eu 0.6667 0.3333 0.5000  6 Na 3.54, 6 Zn 3.54, 2 Eu 3.72
Zn 0.3333 0.6667 0.0000  3 Na 3.01